GGA-PBE MgGe2Mo, relaxed; SG = I-42d, No. 122; calculated formation energy = 0.6528 eV per atom
1.0
-6.116 -0.283 -1.228
0.739 -5.734 -2.358
-3.563 -5.111 3.045
Ge Mg Mo
4 2 2
direct
0.375 0.334 0.750 Ge
0.084 0.625 0.250 Ge
0.875 0.916 0.750 Ge
0.666 0.125 0.250 Ge
0.250 0.750 0.500 Mg
0.500 0.500 0.000 Mg
0.750 0.250 0.500 Mo
0.000 0.000 0.000 Mo


GGA-PBE MgGeMo2, relaxed; distance to the lowest polymorph of the same formula = 0.000 eV per atom; SG = Fm-3m, No. 225; calculated formation energy = 0.4336 eV per atom
1.0
0.000 3.160 3.160
3.160 0.000 3.160
3.160 3.160 0.000
Ge Mo Mg
1 2 1
direct
0.500 0.500 0.500 Ge
0.750 0.750 0.750 Mo
0.250 0.250 0.250 Mo
0.000 0.000 0.000 Mg


GGA-PBE MgGe2Mo2, relaxed; distance to the lowest polymorph of the same formula = 0.000 eV per atom; SG = P4/mbm, No. 127; calculated formation energy = -0.0651 eV per atom
1.0
-4.685 4.409 -2.518
-3.825 -0.812 5.695
1.623 2.556 1.454
Mo Ge Mg
4 4 2
direct
0.342 0.158 0.500 Mo
0.842 0.342 0.500 Mo
0.658 0.842 0.500 Mo
0.158 0.658 0.500 Mo
0.138 0.362 0.000 Ge
0.862 0.638 0.000 Ge
0.362 0.862 0.000 Ge
0.638 0.138 0.000 Ge
0.000 0.000 0.000 Mg
0.500 0.500 0.000 Mg


GGA-PBE MgGe2Mo2, relaxed; distance to the lowest polymorph of the same formula = 0.355 eV per atom; SG = I4/mmm, No. 139; calculated formation energy = 0.2902 eV per atom
1.0
4.798 0.000 0.000
0.000 4.798 0.000
2.399 2.399 4.145
Mg Mo Ge
1 2 2
direct
0.000 0.000 0.000 Mg
0.637 0.637 0.725 Mo
0.363 0.363 0.275 Mo
0.250 0.750 0.500 Ge
0.750 0.250 0.500 Ge


GGA-PBE MgGe2Mo, relaxed; SG = P4/mmm, No. 123; calculated formation energy = -0.0448 eV per atom
1.0
-1.009 -1.711 -2.712
-2.600 -1.228 1.743
-3.336 4.655 -1.696
Ge Mo Mg
2 1 1
direct
0.000 0.000 0.223 Ge
0.000 0.000 0.777 Ge
0.500 0.500 0.000 Mo
0.500 0.500 0.500 Mg


GGA-PBE Mg2GeMo, relaxed; SG = I-42d, No. 122; calculated formation energy = 0.4837 eV per atom
1.0
-1.163 6.964 2.707
-1.266 -2.884 6.875
1.333 2.249 5.348
Ge Mg Mo
2 4 2
direct
0.250 0.750 0.500 Ge
0.500 0.500 0.000 Ge
0.607 0.125 0.250 Mg
0.375 0.393 0.750 Mg
0.143 0.625 0.250 Mg
0.875 0.857 0.750 Mg
0.000 0.000 0.000 Mo
0.750 0.250 0.500 Mo


GGA-PBE MgGe2Mo2, relaxed; distance to the lowest polymorph of the same formula = 0.142 eV per atom; SG = P4/mbm, No. 127; calculated formation energy = 0.0767 eV per atom
1.0
-5.199 -4.283 -2.463
0.182 -3.739 6.117
-2.243 1.986 1.281
Mo Ge Mg
4 4 2
direct
0.361 0.861 0.000 Mo
0.639 0.139 0.000 Mo
0.861 0.639 0.000 Mo
0.139 0.361 0.000 Mo
0.153 0.653 0.500 Ge
0.347 0.153 0.500 Ge
0.847 0.347 0.500 Ge
0.653 0.847 0.500 Ge
0.000 0.000 0.000 Mg
0.500 0.500 0.000 Mg


GGA-PBE MgGeMo2, relaxed; distance to the lowest polymorph of the same formula = 0.113 eV per atom; SG = I-42d, No. 122; calculated formation energy = 0.5463 eV per atom
1.0
-4.704 -5.649 0.572
5.675 -4.699 0.267
0.542 -4.958 3.015
Mo Mg Ge
4 2 2
direct
0.665 0.125 0.250 Mo
0.875 0.915 0.750 Mo
0.375 0.335 0.750 Mo
0.085 0.625 0.250 Mo
0.500 0.500 0.000 Mg
0.250 0.750 0.500 Mg
0.000 0.000 0.000 Ge
0.750 0.250 0.500 Ge


Number 1: size of the total moment 0.00 Bohr magnetons per cell. Number 2: size of the total moment 0.03 Bohr magnetons per cell. Number 3: size of the total moment 0.00 Bohr magnetons per cell. Number 4: size of the total moment 0.00 Bohr magnetons per cell. Number 5: size of the total moment 0.00 Bohr magnetons per cell. Number 6: size of the total moment 0.00 Bohr magnetons per cell. Number 7: size of the total moment 0.00 Bohr magnetons per cell. Number 8: size of the total moment 0.00 Bohr magnetons per cell.